# 1
## ScBIrRh2 (PBE)

Data for a relaxed structure of ScBIrRh2.

Output
Spin magnetization, Bohr magnetons per cell: 0.0
Symmetry: P4/mmm, No. 123
DFT total energy, eV per atom: -8.046
Theoretical density, g cm⁻³: 10.66

Cell lengths 4.1356, 4.1356, 4.1334 Å; angles 90.00, 90.00, 90.00 degrees
Positions (direct):
1 Sc 0.0000 0.0000 0.0000
2 B 0.5000 0.5000 0.5000
3 Ir 0.5000 0.5000 0.0000
4 Rh 0.0000 0.5000 0.5000
5 Rh 0.5000 0.0000 0.5000

# 2
## ScB3Ir2Rh (PBE)

Data for a relaxed structure of ScB3Ir2Rh.

Output
Spin magnetization, Bohr magnetons per cell: 0.0
Symmetry: R-3m, No. 166
DFT total energy, eV per atom: -7.733
Theoretical density, g cm⁻³: 10.43

Cell lengths 7.8499, 7.8499, 7.8499 Å; angles 39.97, 39.97, 39.97 degrees
Positions (direct):
1 Sc 0.2204 0.2204 0.2204
2 Sc 0.7796 0.7796 0.7796
3 B 0.2974 0.2974 0.6493
4 B 0.2974 0.6493 0.2974
5 B 0.3507 0.7026 0.7026
6 B 0.6493 0.2974 0.2974
7 B 0.7026 0.3507 0.7026
8 B 0.7026 0.7026 0.3507
9 Ir 0.0000 0.5000 0.5000
10 Ir 0.5000 0.0000 0.5000
11 Ir 0.5000 0.5000 0.0000
12 Ir 0.5000 0.5000 0.5000
13 Rh 0.0649 0.0649 0.0649
14 Rh 0.9351 0.9351 0.9351

# 3
## Sc2BIrRh (PBE)

Data for a relaxed structure of Sc2BIrRh.

Output
Spin magnetization, Bohr magnetons per cell: 0.0
Symmetry: P4/mmm, No. 123
DFT total energy, eV per atom: -6.217
Theoretical density, g cm⁻³: 5.73

Cell lengths 4.9349, 4.9349, 4.7080 Å; angles 90.00, 90.00, 90.00 degrees
Positions (direct):
1 Sc 0.0000 0.5000 0.0000
2 Sc 0.5000 0.0000 0.0000
3 B 0.0000 0.0000 0.5000
4 Ir 0.5000 0.5000 0.0000
5 Rh 0.5000 0.5000 0.5000

# 4
## SmBIrRh2 (PBE)

Data for a relaxed structure of SmBIrRh2.

Output
Spin magnetization, Bohr magnetons per cell: 0.0
Symmetry: P4/mmm, No. 123
DFT total energy, eV per atom: -7.684
Theoretical density, g cm⁻³: 12.11

Cell lengths 4.2645, 4.2645, 4.2163 Å; angles 90.00, 90.00, 90.00 degrees
Positions (direct):
1 Sm 0.0000 0.0000 0.0000
2 B 0.5000 0.5000 0.5000
3 Ir 0.5000 0.5000 0.0000
4 Rh 0.0000 0.5000 0.5000
5 Rh 0.5000 0.0000 0.5000

# 5
## Sm3B2IrRh9 (PBE)

Data for a relaxed structure of Sm3B2IrRh9.

Output
Spin magnetization, Bohr magnetons per cell: 0.1
Symmetry: P-3m1, No. 164
DFT total energy, eV per atom: -7.289
Theoretical density, g cm⁻³: 10.39

Cell lengths 5.8660, 5.8660, 8.5341 Å; angles 90.00, 90.00, 120.00 degrees
Positions (direct):
1 Sm 0.0000 0.0000 0.0000
2 Sm 0.3333 0.6667 0.6371
3 Sm 0.6667 0.3333 0.3629
4 B 0.3333 0.6667 0.1411
5 B 0.6667 0.3333 0.8589
6 Ir 0.0000 0.0000 0.5000
7 Rh 0.0000 0.5000 0.0000
8 Rh 0.1680 0.3361 0.2834
9 Rh 0.1680 0.8320 0.2834
10 Rh 0.3361 0.1680 0.7166
11 Rh 0.5000 0.0000 0.0000
12 Rh 0.5000 0.5000 0.0000
13 Rh 0.6639 0.8320 0.2834
14 Rh 0.8320 0.1680 0.7166
15 Rh 0.8320 0.6639 0.7166

# 6
## SmBIrRh (PBE)

Data for a relaxed structure of SmBIrRh.

Output
Spin magnetization, Bohr magnetons per cell: 0.0
Symmetry: Imm2, No. 44
DFT total energy, eV per atom: -7.344
Theoretical density, g cm⁻³: 11.35

Cell lengths 5.3208, 5.3208, 5.3208 Å; angles 139.39, 136.48, 61.03 degrees
Positions (direct):
1 Sm 0.0000 0.0000 0.0000
2 B 0.7500 0.2500 0.5000
3 Ir 0.6449 0.6449 0.0000
4 Rh 0.3490 0.3490 0.0000

# 7
## Th4B3IrRh12 (PBE)

Data for a relaxed structure of Th4B3IrRh12.

Output
Spin magnetization, Bohr magnetons per cell: 1.5
Symmetry: Im-3m, No. 229
DFT total energy, eV per atom: -7.974
Theoretical density, g cm⁻³: 11.70

Cell lengths 7.6065, 7.6065, 7.6065 Å; angles 109.47, 109.47, 109.47 degrees
Positions (direct):
1 Th 0.0000 0.0000 0.5000
2 Th 0.0000 0.5000 0.0000
3 Th 0.5000 0.0000 0.0000
4 Th 0.5000 0.5000 0.5000
5 B 0.0000 0.5000 0.5000
6 B 0.5000 0.0000 0.5000
7 B 0.5000 0.5000 0.0000
8 Ir 0.0000 0.0000 0.0000
9 Rh 0.0000 0.2792 0.2792
10 Rh 0.0000 0.7208 0.7208
11 Rh 0.2500 0.5000 0.7500
12 Rh 0.2500 0.7500 0.5000
13 Rh 0.2792 0.0000 0.2792
14 Rh 0.2792 0.2792 0.0000
15 Rh 0.5000 0.2500 0.7500
16 Rh 0.5000 0.7500 0.2500
17 Rh 0.7208 0.0000 0.7208
18 Rh 0.7208 0.7208 0.0000
19 Rh 0.7500 0.2500 0.5000
20 Rh 0.7500 0.5000 0.2500

# 8
## ThBIrRh (PBE)

Data for a relaxed structure of ThBIrRh.

Output
Spin magnetization, Bohr magnetons per cell: 0.0
Symmetry: Amm2, No. 38
DFT total energy, eV per atom: -7.985
Theoretical density, g cm⁻³: 12.54

Cell lengths 3.5852, 5.2259, 5.2259 Å; angles 46.68, 90.00, 90.00 degrees
Positions (direct):
1 Th 0.0000 0.0000 0.0000
2 B 0.5000 0.4069 0.4069
3 Ir 0.0000 0.2929 0.2929
4 Rh 0.5000 0.6337 0.6337

# 9
## ThBIr2Rh (PBE)

Data for a relaxed structure of ThBIr2Rh.

Output
Spin magnetization, Bohr magnetons per cell: 0.0
Symmetry: P4/mmm, No. 123
DFT total energy, eV per atom: -8.593
Theoretical density, g cm⁻³: 15.18

Cell lengths 4.2705, 4.2705, 4.3795 Å; angles 90.00, 90.00, 90.00 degrees
Positions (direct):
1 Th 0.0000 0.0000 0.0000
2 B 0.5000 0.5000 0.5000
3 Ir 0.0000 0.5000 0.5000
4 Ir 0.5000 0.0000 0.5000
5 Rh 0.5000 0.5000 0.0000

# 10
## ThB2Ir2Rh (PBE)

Data for a relaxed structure of ThB2Ir2Rh.

Output
Spin magnetization, Bohr magnetons per cell: 0.0
Symmetry: I4/mmm, No. 139
DFT total energy, eV per atom: -8.235
Theoretical density, g cm⁻³: 13.28

Cell lengths 6.4838, 6.4838, 6.4838 Å; angles 144.22, 144.22, 51.50 degrees
Positions (direct):
1 Th 0.0000 0.0000 0.0000
2 B 0.3174 0.3174 0.0000
3 B 0.6826 0.6826 0.0000
4 Ir 0.2500 0.7500 0.5000
5 Ir 0.7500 0.2500 0.5000
6 Rh 0.5000 0.5000 0.0000

# 11
## ThB2IrRh2 (PBE)

Data for a relaxed structure of ThB2IrRh2.

Output
Spin magnetization, Bohr magnetons per cell: 0.0
Symmetry: I4/mmm, No. 139
DFT total energy, eV per atom: -7.999
Theoretical density, g cm⁻³: 11.69

Cell lengths 6.4318, 6.4318, 6.4318 Å; angles 143.74, 143.74, 52.22 degrees
Positions (direct):
1 Th 0.0000 0.0000 0.0000
2 B 0.3153 0.3153 0.0000
3 B 0.6847 0.6847 0.0000
4 Ir 0.5000 0.5000 0.0000
5 Rh 0.2500 0.7500 0.5000
6 Rh 0.7500 0.2500 0.5000

# 12
## Th3B2IrRh9 (PBE)

Data for a relaxed structure of Th3B2IrRh9.

Output
Spin magnetization, Bohr magnetons per cell: 0.0
Symmetry: P-3m1, No. 164
DFT total energy, eV per atom: -7.986
Theoretical density, g cm⁻³: 11.78

Cell lengths 5.8300, 5.8300, 8.7925 Å; angles 90.00, 90.00, 120.00 degrees
Positions (direct):
1 Th 0.0000 0.0000 0.0000
2 Th 0.3333 0.6667 0.6400
3 Th 0.6667 0.3333 0.3600
4 B 0.3333 0.6667 0.1421
5 B 0.6667 0.3333 0.8579
6 Ir 0.0000 0.0000 0.5000
7 Rh 0.0000 0.5000 0.0000
8 Rh 0.1674 0.3347 0.2813
9 Rh 0.1674 0.8326 0.2813
10 Rh 0.3347 0.1674 0.7187
11 Rh 0.5000 0.0000 0.0000
12 Rh 0.5000 0.5000 0.0000
13 Rh 0.6653 0.8326 0.2813
14 Rh 0.8326 0.1674 0.7187
15 Rh 0.8326 0.6653 0.7187

# 13
## ThB2IrRh7 (PBE)

Data for a relaxed structure of ThB2IrRh7.

Output
Spin magnetization, Bohr magnetons per cell: 0.9
Symmetry: P4/mmm, No. 123
DFT total energy, eV per atom: -7.268
Theoretical density, g cm⁻³: 10.99

Cell lengths 4.0542, 4.0542, 10.7159 Å; angles 90.00, 90.00, 90.00 degrees
Positions (direct):
1 Th 0.0000 0.0000 0.0000
2 B 0.5000 0.5000 0.1956
3 B 0.5000 0.5000 0.8044
4 Ir 0.0000 0.0000 0.5000
5 Rh 0.0000 0.5000 0.2185
6 Rh 0.0000 0.5000 0.7815
7 Rh 0.5000 0.0000 0.2185
8 Rh 0.5000 0.0000 0.7815
9 Rh 0.5000 0.5000 0.0000
10 Rh 0.5000 0.5000 0.3902
11 Rh 0.5000 0.5000 0.6098

# 14
## Ti7B8Ir2Rh4 (PBE)

Data for a relaxed structure of Ti7B8Ir2Rh4.

Output
Spin magnetization, Bohr magnetons per cell: 0.0
Symmetry: Pm, No. 6
DFT total energy, eV per atom: -8.284
Theoretical density, g cm⁻³: 8.52

Cell lengths 9.2703, 3.1867, 9.2764 Å; angles 90.00, 119.96, 90.00 degrees
Positions (direct):
1 Ti 0.0000 0.0000 0.0000
2 Ti 0.0851 0.0000 0.3589
3 Ti 0.3647 0.0000 0.8086
4 Ti 0.4499 0.0000 0.1707
5 Ti 0.6375 0.0000 0.7226
6 Ti 0.7239 0.0000 0.0835
7 Ti 0.8095 0.0000 0.4445
8 B 0.0574 0.0000 0.7512
9 B 0.3911 0.0000 0.4175
10 B 0.5067 0.5000 0.0197
11 B 0.5716 0.5000 0.8671
12 B 0.6603 0.5000 0.2366
13 B 0.7886 0.5000 0.9307
14 B 0.8765 0.5000 0.3000
15 B 0.9409 0.5000 0.1481
16 Ir 0.2174 0.5000 0.9291
17 Ir 0.8793 0.5000 0.7312
18 Rh 0.0774 0.5000 0.5915
19 Rh 0.2337 0.5000 0.2397
20 Rh 0.3703 0.5000 0.5745
21 Rh 0.5693 0.5000 0.4380

# 15
## TmB2IrRh (PBE)

Data for a relaxed structure of TmB2IrRh.

Output
Spin magnetization, Bohr magnetons per cell: 0.0
Symmetry: I-4m2, No. 119
DFT total energy, eV per atom: -7.506
Theoretical density, g cm⁻³: 12.26

Cell lengths 5.2232, 5.2232, 5.2232 Å; angles 136.88, 136.88, 62.63 degrees
Positions (direct):
1 Tm 0.0000 0.0000 0.0000
2 B 0.3767 0.3767 0.0000
3 B 0.6233 0.6233 0.0000
4 Ir 0.7500 0.2500 0.5000
5 Rh 0.2500 0.7500 0.5000

# 16
## TmBIr2Rh (PBE)

Data for a relaxed structure of TmBIr2Rh.

Output
Spin magnetization, Bohr magnetons per cell: 0.0
Symmetry: P4/mmm, No. 123
DFT total energy, eV per atom: -7.989
Theoretical density, g cm⁻³: 14.94

Cell lengths 4.1910, 4.1910, 4.2200 Å; angles 90.00, 90.00, 90.00 degrees
Positions (direct):
1 Tm 0.0000 0.0000 0.0000
2 B 0.5000 0.5000 0.5000
3 Ir 0.0000 0.5000 0.5000
4 Ir 0.5000 0.0000 0.5000
5 Rh 0.5000 0.5000 0.0000

# 17
## TmBIrRh2 (PBE)

Data for a relaxed structure of TmBIrRh2.

Output
Spin magnetization, Bohr magnetons per cell: 0.0
Symmetry: P4/mmm, No. 123
DFT total energy, eV per atom: -7.735
Theoretical density, g cm⁻³: 13.02

Cell lengths 4.1999, 4.1999, 4.1765 Å; angles 90.00, 90.00, 90.00 degrees
Positions (direct):
1 Tm 0.0000 0.0000 0.0000
2 B 0.5000 0.5000 0.5000
3 Ir 0.5000 0.5000 0.0000
4 Rh 0.0000 0.5000 0.5000
5 Rh 0.5000 0.0000 0.5000

# 18
## YBIr2Rh (PBE)

Data for a relaxed structure of YBIr2Rh.

Output
Spin magnetization, Bohr magnetons per cell: 0.0
Symmetry: P4/mmm, No. 123
DFT total energy, eV per atom: -5.964
Theoretical density, g cm⁻³: 8.52

Cell lengths 4.7202, 4.7202, 5.1369 Å; angles 90.00, 90.00, 90.00 degrees
Positions (direct):
1 Y 0.0000 0.0000 0.0000
2 B 0.5000 0.5000 0.0000
3 Ir 0.0000 0.5000 0.5000
4 Ir 0.5000 0.0000 0.5000
5 Rh 0.0000 0.0000 0.5000

# 19
## Y2B2IrRh5 (PBE)

Data for a relaxed structure of Y2B2IrRh5.

Output
Spin magnetization, Bohr magnetons per cell: 0.0
Symmetry: P4/mbm, No. 127
DFT total energy, eV per atom: -7.764
Theoretical density, g cm⁻³: 10.27

Cell lengths 9.5457, 9.5457, 3.2171 Å; angles 90.00, 90.00, 90.00 degrees
Positions (direct):
1 Y 0.1777 0.3223 0.0000
2 Y 0.3223 0.8223 0.0000
3 Y 0.6777 0.1777 0.0000
4 Y 0.8223 0.6777 0.0000
5 B 0.1217 0.6217 0.0000
6 B 0.3783 0.1217 0.0000
7 B 0.6217 0.8783 0.0000
8 B 0.8783 0.3783 0.0000
9 Ir 0.0000 0.0000 0.0000
10 Ir 0.5000 0.5000 0.0000
11 Rh 0.0000 0.5000 0.5000
12 Rh 0.0703 0.7746 0.5000
13 Rh 0.2254 0.0703 0.5000
14 Rh 0.2746 0.5703 0.5000
15 Rh 0.4297 0.2746 0.5000
16 Rh 0.5000 0.0000 0.5000
17 Rh 0.5703 0.7254 0.5000
18 Rh 0.7254 0.4297 0.5000
19 Rh 0.7746 0.9297 0.5000
20 Rh 0.9297 0.2254 0.5000

# 20
## YBIr2Rh (PBE)

Data for a relaxed structure of YBIr2Rh.

Output
Spin magnetization, Bohr magnetons per cell: 0.0
Symmetry: P4/mmm, No. 123
DFT total energy, eV per atom: -8.336
Theoretical density, g cm⁻³: 12.91

Cell lengths 4.2131, 4.2131, 4.2528 Å; angles 90.00, 90.00, 90.00 degrees
Positions (direct):
1 Y 0.0000 0.0000 0.0000
2 B 0.5000 0.5000 0.5000
3 Ir 0.0000 0.5000 0.5000
4 Ir 0.5000 0.0000 0.5000
5 Rh 0.5000 0.5000 0.0000

# 21
## YB2IrRh (PBE)

Data for a relaxed structure of YB2IrRh.

Output
Spin magnetization, Bohr magnetons per cell: 0.0
Symmetry: I-4m2, No. 119
DFT total energy, eV per atom: -7.889
Theoretical density, g cm⁻³: 9.62

Cell lengths 5.4561, 5.4561, 5.4561 Å; angles 138.71, 138.71, 59.82 degrees
Positions (direct):
1 Y 0.0000 0.0000 0.0000
2 B 0.3575 0.3575 0.0000
3 B 0.6425 0.6425 0.0000
4 Ir 0.2500 0.7500 0.5000
5 Rh 0.7500 0.2500 0.5000

# 22
## YBIrRh2 (PBE)

Data for a relaxed structure of YBIrRh2.

Output
Spin magnetization, Bohr magnetons per cell: 0.0
Symmetry: P4/mmm, No. 123
DFT total energy, eV per atom: -8.082
Theoretical density, g cm⁻³: 11.01

Cell lengths 4.2296, 4.2296, 4.1969 Å; angles 90.00, 90.00, 90.00 degrees
Positions (direct):
1 Y 0.0000 0.0000 0.0000
2 B 0.5000 0.5000 0.5000
3 Ir 0.5000 0.5000 0.0000
4 Rh 0.0000 0.5000 0.5000
5 Rh 0.5000 0.0000 0.5000

# 23
## ZnBIrRh (PBE)

Data for a relaxed structure of ZnBIrRh.

Output
Spin magnetization, Bohr magnetons per cell: 0.0
Symmetry: F-43m, No. 216
DFT total energy, eV per atom: -5.966
Theoretical density, g cm⁻³: 12.82

Cell lengths 4.0826, 4.0826, 4.0826 Å; angles 60.00, 60.00, 60.00 degrees
Positions (direct):
1 Zn 0.0000 0.0000 0.0000
2 B 0.5000 0.5000 0.5000
3 Ir 0.7500 0.7500 0.7500
4 Rh 0.2500 0.2500 0.2500

# 24
## ZnBIrRh2 (PBE)

Data for a relaxed structure of ZnBIrRh2.

Output
Spin magnetization, Bohr magnetons per cell: 0.0
Symmetry: P4/mmm, No. 123
DFT total energy, eV per atom: -6.456
Theoretical density, g cm⁻³: 11.58

Cell lengths 4.0767, 4.0767, 4.0928 Å; angles 90.00, 90.00, 90.00 degrees
Positions (direct):
1 Zn 0.0000 0.0000 0.0000
2 B 0.5000 0.5000 0.5000
3 Ir 0.5000 0.5000 0.0000
4 Rh 0.0000 0.5000 0.5000
5 Rh 0.5000 0.0000 0.5000